Here is an optimized crystal structure of Na3CoO3 from Alexandria. Energies are from PBE with a Hubbard U.

Computed properties:
E above lowest polymorph: 55.9 meV/atom

abc: 7.590 7.591 7.590
angles: 90.00 90.00 90.00
Site moments in Bohr magnetons follow the coordinates.
Atoms (fractional coordinates):
Na (0.023, 0.023, 0.023)  0.01
Na (0.217, 0.283, 0.717)  0.00
Na (0.241, 0.741, 0.759)  0.00
Na (0.259, 0.259, 0.259)  0.00
Na (0.283, 0.717, 0.217)  0.00
Na (0.477, 0.977, 0.523)  0.01
Na (0.523, 0.477, 0.977)  0.01
Na (0.717, 0.217, 0.283)  0.00
Na (0.741, 0.759, 0.241)  0.00
Na (0.759, 0.241, 0.741)  0.00
Na (0.783, 0.783, 0.783)  0.00
Na (0.977, 0.523, 0.477)  0.01
Co (0.974, 0.026, 0.526)  2.87
Co (0.526, 0.974, 0.026)  2.87
Co (0.474, 0.474, 0.474)  2.87
Co (0.026, 0.526, 0.974)  2.87
O (0.000, 0.224, 0.404)  0.30
O (0.096, 0.000, 0.724)  0.30
O (0.224, 0.404, 0.000)  0.30
O (0.276, 0.596, 0.500)  0.30
O (0.404, 0.000, 0.224)  0.30
O (0.500, 0.776, 0.904)  0.30
O (0.500, 0.276, 0.596)  0.30
O (0.596, 0.500, 0.276)  0.30
O (0.724, 0.096, 0.000)  0.30
O (0.776, 0.904, 0.500)  0.30
O (0.904, 0.500, 0.776)  0.30
O (0.000, 0.724, 0.096)  0.30



Here is an optimized crystal structure of Na2CoO from Alexandria. Energies are from PBE with a Hubbard U.

Computed properties:
electronic total energy: -29.61 eV for the cell shown

abc: 9.834 9.834 7.186
angles: 46.83 46.83 90.00
Site moments in Bohr magnetons follow the coordinates.
Atoms (fractional coordinates):
Na (0.444, 0.125, 0.250)  0.00
Na (0.306, 0.625, 0.250)  0.00
Na (0.375, 0.556, 0.750)  0.00
Na (0.875, 0.694, 0.750)  0.00
Co (0.000, 0.000, 0.000)  2.04
Co (0.750, 0.250, 0.500)  2.04
O (0.500, 0.500, 0.000)  0.11
O (0.250, 0.750, 0.500)  0.11



Here is an optimized crystal structure of Na7Co2O6 from Alexandria. Energies are from PBE with a Hubbard U.

Computed properties:
electronic total energy: -136.69 eV for the cell shown

abc: 7.907 7.907 10.655
angles: 76.00 76.00 43.22
Site moments in Bohr magnetons follow the coordinates.
Atoms (fractional coordinates):
Na (0.426, 0.239, 0.906)  0.00
Na (0.186, 0.261, 0.195)  0.00
Na (0.698, 0.422, 0.349)  0.00
Na (0.574, 0.761, 0.094)  0.00
Na (0.422, 0.698, 0.849)  0.00
Na (0.072, 0.928, 0.250)  0.00
Na (0.814, 0.739, 0.805)  0.00
Na (0.739, 0.814, 0.305)  0.00
Na (0.928, 0.072, 0.750)  0.00
Na (0.761, 0.574, 0.594)  0.00
Na (0.261, 0.186, 0.695)  0.00
Na (0.578, 0.302, 0.151)  0.00
Na (0.302, 0.578, 0.651)  0.00
Na (0.239, 0.426, 0.406)  0.00
Co (0.241, 0.008, 0.460)  2.71
Co (0.008, 0.241, 0.960)  2.71
Co (0.992, 0.759, 0.040)  2.71
Co (0.759, 0.992, 0.540)  2.71
O (0.152, 0.606, 0.188)  0.21
O (0.135, 0.673, 0.876)  0.20
O (0.848, 0.394, 0.812)  0.21
O (0.997, 0.656, 0.582)  0.23
O (0.606, 0.152, 0.688)  0.21
O (0.327, 0.865, 0.624)  0.20
O (0.673, 0.135, 0.376)  0.20
O (0.865, 0.327, 0.124)  0.20
O (0.394, 0.848, 0.312)  0.21
O (0.003, 0.344, 0.418)  0.23
O (0.656, 0.997, 0.082)  0.23
O (0.344, 0.003, 0.918)  0.23



Here is an optimized crystal structure of Na6CoO4 from Alexandria. Energies are from PBE with a Hubbard U.

Computed properties:
E above lowest polymorph: 0.0 meV/atom

abc: 5.905 7.661 7.661
angles: 120.00 90.00 90.00
Site moments in Bohr magnetons follow the coordinates.
Atoms (fractional coordinates):
Na (0.535, 0.716, 0.858)  0.00
Na (0.535, 0.142, 0.858)  0.00
Na (0.035, 0.858, 0.716)  0.00
Na (0.535, 0.142, 0.284)  0.00
Na (0.035, 0.858, 0.142)  0.00
Na (0.035, 0.284, 0.142)  0.00
Na (0.868, 0.462, 0.925)  0.00
Na (0.868, 0.462, 0.538)  0.00
Na (0.868, 0.075, 0.538)  0.00
Na (0.368, 0.925, 0.462)  0.00
Na (0.368, 0.538, 0.462)  0.00
Na (0.368, 0.538, 0.075)  0.00
Co (0.260, 0.333, 0.667)  2.58
Co (0.760, 0.667, 0.333)  2.58
O (0.596, 0.333, 0.667)  0.07
O (0.096, 0.667, 0.333)  0.07
O (0.146, 0.621, 0.811)  0.06
O (0.146, 0.189, 0.811)  0.06
O (0.146, 0.189, 0.379)  0.06
O (0.646, 0.811, 0.621)  0.06
O (0.646, 0.811, 0.189)  0.06
O (0.646, 0.379, 0.189)  0.06